[1]
The following is a DFT calculation (PBE-GGA) of a relaxed structure of Pm4CdBi.

Cell and atoms, written as POSCAR:
```
Pm4CdBi
1.0
-3.395 -4.979 1.423
8.546 -1.793 1.458
-3.232 5.770 5.338
Pm Cd Bi
8 2 2
Cartesian
-1.060 3.963 4.771
1.448 -1.523 5.408
1.686 2.419 5.581
4.591 0.179 5.114
-2.672 -1.180 3.105
0.233 -3.420 2.638
0.471 0.521 2.811
2.979 -4.964 3.448
-0.851 -1.238 0.376
2.770 0.236 7.843
3.276 -1.603 2.614
-1.357 0.602 5.605
```

Computed properties:
* spin magnetization: 0.00 μB/f.u.
* electronic total energy: -4.3056 eV/atom

[2]
The following is a DFT calculation (PBE-GGA) of a relaxed structure of Pm7Cd2Bi2.

Cell and atoms, written as POSCAR:
```
Pm7Cd2Bi2
1.0
7.633 -0.003 -0.330
0.003 6.716 0.003
-0.805 -0.003 7.598
Pm Cd Bi
7 2 2
Cartesian
7.230 1.743 3.472
3.017 4.964 7.433
-0.398 4.967 3.798
3.815 1.747 -0.162
0.000 0.000 0.000
3.419 5.012 3.634
3.413 1.698 3.637
5.344 6.713 1.827
1.488 -0.003 5.444
5.514 3.353 5.869
1.318 3.357 1.402
```

Computed properties:
* spin magnetization: 0.00 μB/f.u.
* electronic total energy: -3.9815 eV/atom

[3]
The following is a DFT calculation (PBE-GGA) of a relaxed structure of PmCdBi3.

Cell and atoms, written as POSCAR:
```
PmCdBi3
1.0
6.540 0.000 0.000
0.000 6.515 0.000
0.000 0.000 14.141
Pm Cd Bi
4 4 12
Cartesian
4.905 3.338 9.629
1.635 3.177 4.512
4.905 0.081 4.512
1.635 6.434 9.629
3.270 1.629 1.706
0.000 4.886 12.435
3.270 4.886 12.435
0.000 1.629 1.706
0.000 1.629 7.066
3.270 4.886 7.075
0.000 4.886 7.075
3.270 1.629 7.066
1.635 1.117 12.976
4.905 5.398 1.165
1.635 4.375 1.165
4.905 2.140 12.976
1.635 3.130 10.291
4.905 3.385 3.850
1.635 6.387 3.850
4.905 0.128 10.291
```

Computed properties:
* spin magnetization: 0.00 μB/f.u.
* electronic total energy: -3.8061 eV/atom

[4]
The following is a DFT calculation (PBE-GGA) of a relaxed structure of PmCd2Bi2.

Cell and atoms, written as POSCAR:
```
PmCd2Bi2
1.0
-4.049 1.897 -1.069
-0.610 -3.157 -3.292
-3.922 -8.784 9.153
Pm Cd Bi
2 4 4
Cartesian
-4.303 -6.258 5.192
-4.278 -3.786 -0.400
-0.951 -3.018 -1.754
-5.945 -9.599 5.483
-7.631 -7.027 6.545
-2.636 -0.446 -0.692
-5.150 -3.758 2.950
-3.432 -6.287 1.842
-6.873 -7.205 3.360
-1.708 -2.839 1.432
```

Computed properties:
* spin magnetization: 0.00 μB/f.u.
* electronic total energy: -3.2310 eV/atom

[5]
The following is a DFT calculation (PBE-GGA) of a relaxed structure of Pm4Cd3Bi.

Cell and atoms, written as POSCAR:
```
Pm4Cd3Bi
1.0
5.476 0.000 0.000
0.000 7.639 0.000
0.000 0.000 10.947
Cd Bi Pm
6 2 8
Cartesian
0.000 0.000 0.000
0.000 0.000 5.474
2.747 0.000 8.210
2.729 0.000 2.737
2.747 3.820 8.210
2.729 3.820 2.737
0.000 3.820 0.000
0.000 3.820 5.474
2.738 5.769 0.000
2.738 5.769 5.474
2.738 1.870 0.000
2.738 1.870 5.474
0.007 5.769 8.210
5.469 5.769 2.737
5.469 1.870 2.737
0.007 1.870 8.210
```

Computed properties:
* spin magnetization: 0.00 μB/f.u.
* electronic total energy: -3.6308 eV/atom

[6]
The following is a DFT calculation (PBE-GGA) of a relaxed structure of Pm2CdBi.

Cell and atoms, written as POSCAR:
```
Pm2CdBi
1.0
-5.334 0.865 0.995
-3.164 -4.120 1.788
-1.864 0.011 5.168
Cd Bi Pm
1 1 2
Cartesian
-5.181 -1.622 3.976
0.000 0.000 0.000
-2.590 -0.811 1.988
-7.771 -2.433 5.964
```

Computed properties:
* spin magnetization: 0.00 μB/f.u.
* electronic total energy: -4.0588 eV/atom
* energy above the lowest structure with this stoichiometry: 0.068 eV per atom

[7]
The following is a DFT calculation (PBE-GGA) of a relaxed structure of Pm3Cd2Bi.

Cell and atoms, written as POSCAR:
```
Pm3Cd2Bi
1.0
4.119 0.000 0.000
0.000 5.264 0.000
0.000 0.000 16.011
Pm Cd Bi
6 4 2
Cartesian
2.060 2.632 10.651
2.060 0.000 8.005
2.060 2.632 5.360
2.059 0.000 2.646
2.059 2.632 0.000
2.059 0.000 13.365
4.119 0.000 10.869
4.119 0.000 5.142
0.000 2.632 2.863
0.000 2.632 13.148
0.001 2.632 8.005
4.119 0.000 0.000
```

Computed properties:
* spin magnetization: 0.00 μB/f.u.
* electronic total energy: -3.8005 eV/atom

[8]
The following is a DFT calculation (PBE-GGA) of a relaxed structure of PmCd2Bi.

Cell and atoms, written as POSCAR:
```
PmCd2Bi
1.0
-0.789 -1.561 4.816
1.661 -4.138 -1.069
4.215 1.397 1.144
Cd Bi Pm
2 1 1
Cartesian
2.107 0.698 0.572
0.831 -2.069 -0.535
2.543 -2.151 2.445
-0.395 -0.781 2.408
```

Computed properties:
* spin magnetization: 0.00 μB/f.u.
* electronic total energy: -3.0492 eV/atom

no.,E_form (kJ per mole of atoms)
1,-32.7
2,-8.3
3,-33.2
4,-35.0
5,-41.2
6,-46.7
7,-45.7
8,-41.9